PrSm3Ag | PBE | optimized geometry

a b c (Å): 7.299 7.299 8.053
angles (deg): 116.54 116.54 71.28
Fractional coordinates of all 10 atoms:
Pr 0.082 0.082 0.268
Pr 0.918 0.918 0.732
Sm 0.026 0.617 0.301
Sm 0.383 0.974 0.699
Sm 0.449 0.449 0.694
Sm 0.551 0.551 0.306
Sm 0.617 0.026 0.301
Sm 0.974 0.383 0.699
Ag 0.239 0.239 0.057
Ag 0.761 0.761 0.943

## Properties
Its total moment is 0.00 Bohr magnetons per cell. As for the total energy: -4.297 eV/atom. The value obtained for the volume is 33.9 Å³/atom. As for the energy relative to the elements: 0.31 eV per formula unit.

PrSm2Ag2 | PBE | optimized geometry

a b c (Å): 3.732 5.415 13.910
angles (deg): 90.00 97.67 90.00
Fractional coordinates of all 10 atoms:
Pr 0.145 0.250 0.290
Pr 0.855 0.750 0.710
Sm 0.048 0.750 0.096
Sm 0.235 0.750 0.469
Sm 0.765 0.250 0.531
Sm 0.952 0.250 0.904
Ag 0.358 0.250 0.716
Ag 0.455 0.750 0.910
Ag 0.545 0.250 0.090
Ag 0.642 0.750 0.284

## Properties
Its total moment is 0.00 Bohr magnetons per cell. As for the total energy: -4.180 eV/atom. The value obtained for the volume is 27.9 Å³/atom. The relative energy among the computed polymorphs comes out at 0.000 eV per atom. As for the energy relative to the elements: -0.98 eV per formula unit.

PrSm2Ag5 | PBE | optimized geometry

a b c (Å): 8.132 8.132 8.132
angles (deg): 142.93 142.93 53.42
Fractional coordinates of all 8 atoms:
Pr 0.000 0.000 0.000
Sm 0.268 0.268 0.000
Sm 0.732 0.732 0.000
Ag 0.121 0.621 0.500
Ag 0.379 0.879 0.500
Ag 0.500 0.500 0.000
Ag 0.621 0.121 0.500
Ag 0.879 0.379 0.500

## Properties
Its total moment is 0.00 Bohr magnetons per cell. As for the total energy: -3.766 eV/atom. The value obtained for the volume is 24.3 Å³/atom. As for the energy relative to the elements: -1.65 eV per formula unit.

Pr4SmAg5 | PBE | optimized geometry

a b c (Å): 3.738 3.738 19.166
angles (deg): 90.00 90.00 90.00
Fractional coordinates of all 10 atoms:
Pr 0.000 0.000 0.101
Pr 0.000 0.000 0.303
Pr 0.000 0.000 0.697
Pr 0.000 0.000 0.899
Sm 0.000 0.000 0.500
Ag 0.500 0.500 0.000
Ag 0.500 0.500 0.201
Ag 0.500 0.500 0.406
Ag 0.500 0.500 0.594
Ag 0.500 0.500 0.799

## Properties
Its total moment is 0.00 Bohr magnetons per cell. As for the total energy: -4.061 eV/atom. The value obtained for the volume is 26.8 Å³/atom. As for the energy relative to the elements: -2.52 eV per formula unit.

PrSmAg3 | PBE | optimized geometry

a b c (Å): 7.018 4.828 7.925
angles (deg): 90.00 111.46 90.00
Fractional coordinates of all 10 atoms:
Pr 0.022 0.250 0.187
Pr 0.978 0.750 0.813
Sm 0.379 0.750 0.614
Sm 0.621 0.250 0.386
Ag 0.093 0.250 0.595
Ag 0.344 0.250 0.968
Ag 0.348 0.750 0.199
Ag 0.652 0.250 0.801
Ag 0.656 0.750 0.032
Ag 0.907 0.750 0.405

## Properties
Its total moment is 0.00 Bohr magnetons per cell. As for the total energy: -3.835 eV/atom. The value obtained for the volume is 25.0 Å³/atom. The relative energy among the computed polymorphs comes out at 0.026 eV per atom. As for the energy relative to the elements: -1.12 eV per formula unit.

Pr12Sm3Ag5 | PBE | optimized geometry

a b c (Å): 15.967 15.967 15.967
angles (deg): 109.47 109.47 109.47
Fractional coordinates of all 80 atoms:
Pr 0.044 0.216 0.119
Pr 0.044 0.328 0.925
Pr 0.075 0.619 0.404
Pr 0.075 0.956 0.672
Pr 0.096 0.716 0.672
Pr 0.096 0.881 0.425
Pr 0.119 0.044 0.216
Pr 0.119 0.575 0.904
Pr 0.172 0.216 0.596
Pr 0.172 0.456 0.575
Pr 0.216 0.119 0.044
Pr 0.216 0.596 0.172
Pr 0.284 0.328 0.904
Pr 0.284 0.456 0.381
Pr 0.328 0.904 0.284
Pr 0.328 0.925 0.044
Pr 0.381 0.284 0.456
Pr 0.381 0.596 0.925
Pr 0.404 0.075 0.619
Pr 0.404 0.828 0.784
Pr 0.425 0.096 0.881
Pr 0.425 0.828 0.544
Pr 0.456 0.381 0.284
Pr 0.456 0.575 0.172
Pr 0.544 0.425 0.828
Pr 0.544 0.619 0.716
Pr 0.575 0.172 0.456
Pr 0.575 0.904 0.119
Pr 0.596 0.172 0.216
Pr 0.596 0.925 0.381
Pr 0.619 0.404 0.075
Pr 0.619 0.716 0.544
Pr 0.672 0.075 0.956
Pr 0.672 0.096 0.716
Pr 0.716 0.544 0.619
Pr 0.716 0.672 0.096
Pr 0.784 0.404 0.828
Pr 0.784 0.881 0.956
Pr 0.828 0.544 0.425
Pr 0.828 0.784 0.404
Pr 0.881 0.425 0.096
Pr 0.881 0.956 0.784
Pr 0.904 0.119 0.575
Pr 0.904 0.284 0.328
Pr 0.925 0.044 0.328
Pr 0.925 0.381 0.596
Pr 0.956 0.672 0.075
Pr 0.956 0.784 0.881
Sm 0.125 0.250 0.375
Sm 0.125 0.375 0.750
Sm 0.250 0.375 0.125
Sm 0.250 0.875 0.625
Sm 0.375 0.125 0.250
Sm 0.375 0.750 0.125
Sm 0.625 0.250 0.875
Sm 0.625 0.875 0.750
Sm 0.750 0.125 0.375
Sm 0.750 0.625 0.875
Sm 0.875 0.625 0.250
Sm 0.875 0.750 0.625
Ag 0.000 0.000 0.000
Ag 0.000 0.000 0.500
Ag 0.000 0.500 0.000
Ag 0.000 0.500 0.500
Ag 0.125 0.750 0.875
Ag 0.125 0.875 0.250
Ag 0.250 0.125 0.875
Ag 0.250 0.625 0.375
Ag 0.375 0.250 0.625
Ag 0.375 0.625 0.750
Ag 0.500 0.000 0.000
Ag 0.500 0.000 0.500
Ag 0.500 0.500 0.000
Ag 0.500 0.500 0.500
Ag 0.625 0.375 0.250
Ag 0.625 0.750 0.375
Ag 0.750 0.375 0.625
Ag 0.750 0.875 0.125
Ag 0.875 0.125 0.750
Ag 0.875 0.250 0.125

## Properties
Its total moment is 0.01 Bohr magnetons per cell. As for the total energy: -3.830 eV/atom. The value obtained for the volume is 39.2 Å³/atom. As for the energy relative to the elements: 9.17 eV per formula unit.

Pr12Sm3Ag | PBE | optimized geometry

a b c (Å): 5.153 5.153 20.733
angles (deg): 90.00 90.00 90.00
Fractional coordinates of all 16 atoms:
Pr 0.000 0.000 0.000
Pr 0.000 0.000 0.242
Pr 0.000 0.000 0.500
Pr 0.000 0.000 0.758
Pr 0.000 0.500 0.119
Pr 0.000 0.500 0.373
Pr 0.000 0.500 0.627
Pr 0.000 0.500 0.881
Pr 0.500 0.000 0.119
Pr 0.500 0.000 0.373
Pr 0.500 0.000 0.627
Pr 0.500 0.000 0.881
Sm 0.500 0.500 0.245
Sm 0.500 0.500 0.500
Sm 0.500 0.500 0.755
Ag 0.500 0.500 0.000

## Properties
Its total moment is 0.00 Bohr magnetons per cell. As for the total energy: -4.630 eV/atom. The value obtained for the volume is 34.4 Å³/atom. As for the energy relative to the elements: 0.29 eV per formula unit.

Pr5SmAg6 | PBE | optimized geometry

a b c (Å): 8.490 8.490 7.454
angles (deg): 90.00 90.00 143.12
Fractional coordinates of all 12 atoms:
Pr 0.000 0.000 0.000
Pr 0.332 0.668 0.000
Pr 0.334 0.666 0.500
Pr 0.666 0.334 0.500
Pr 0.668 0.332 0.000
Sm 0.000 0.000 0.500
Ag 0.164 0.836 0.253
Ag 0.164 0.836 0.747
Ag 0.500 0.500 0.256
Ag 0.500 0.500 0.744
Ag 0.836 0.164 0.253
Ag 0.836 0.164 0.747

## Properties
Its total moment is 0.00 Bohr magnetons per cell. As for the total energy: -4.059 eV/atom. The value obtained for the volume is 26.9 Å³/atom. As for the energy relative to the elements: -2.98 eV per formula unit.

PrSm3Ag3 | PBE | optimized geometry

a b c (Å): 7.477 7.477 7.275
angles (deg): 98.66 98.66 89.91
Fractional coordinates of all 14 atoms:
Pr 0.239 0.239 0.495
Pr 0.761 0.761 0.505
Sm 0.161 0.161 0.944
Sm 0.229 0.771 0.500
Sm 0.318 0.682 0.000
Sm 0.682 0.318 0.000
Sm 0.771 0.229 0.500
Sm 0.839 0.839 0.056
Ag 0.028 0.486 0.214
Ag 0.452 0.452 0.295
Ag 0.486 0.028 0.214
Ag 0.514 0.972 0.786
Ag 0.548 0.548 0.705
Ag 0.972 0.514 0.786

## Properties
Its total moment is 0.00 Bohr magnetons per cell. As for the total energy: -4.053 eV/atom. The value obtained for the volume is 28.4 Å³/atom. As for the energy relative to the elements: -0.88 eV per formula unit.

Pr2Sm5Ag4 | PBE | optimized geometry

a b c (Å): 16.844 16.844 5.254
angles (deg): 98.92 98.92 12.34
Fractional coordinates of all 11 atoms:
Pr 0.118 0.118 0.118
Pr 0.882 0.882 0.882
Sm 0.000 0.000 0.500
Sm 0.270 0.270 0.770
Sm 0.327 0.327 0.327
Sm 0.673 0.673 0.673
Sm 0.730 0.730 0.230
Ag 0.420 0.420 0.420
Ag 0.459 0.459 0.958
Ag 0.541 0.541 0.042
Ag 0.580 0.580 0.580

## Properties
Its total moment is 0.00 Bohr magnetons per cell. As for the total energy: -4.131 eV/atom. The value obtained for the volume is 28.6 Å³/atom. As for the energy relative to the elements: -0.88 eV per formula unit.

Pr2SmAg | PBE | optimized geometry

a b c (Å): 10.963 10.963 10.963
angles (deg): 19.50 19.50 19.50
Fractional coordinates of all 4 atoms:
Pr 0.000 0.000 0.000
Pr 0.185 0.185 0.185
Sm 0.425 0.425 0.425
Ag 0.593 0.593 0.593

## Properties
Its total moment is 0.00 Bohr magnetons per cell. As for the total energy: -4.271 eV/atom. The value obtained for the volume is 32.1 Å³/atom. The relative energy among the computed polymorphs comes out at 0.109 eV per atom. As for the energy relative to the elements: 0.05 eV per formula unit.

Pr3Sm4Ag | PBE | optimized geometry

a b c (Å): 3.680 3.680 19.378
angles (deg): 90.00 90.00 90.00
Fractional coordinates of all 8 atoms:
Pr 0.000 0.000 0.000
Pr 0.000 0.000 0.268
Pr 0.000 0.000 0.732
Sm 0.500 0.500 0.134
Sm 0.500 0.500 0.402
Sm 0.500 0.500 0.598
Sm 0.500 0.500 0.866
Ag 0.000 0.000 0.500

## Properties
Its total moment is 0.00 Bohr magnetons per cell. As for the total energy: -4.559 eV/atom. The value obtained for the volume is 32.8 Å³/atom. As for the energy relative to the elements: -0.40 eV per formula unit.

DOS at the Fermi energy, respectively: 6.70; 4.76; 5.62; 8.62; 4.22; 33.36; 21.98; 11.65; 7.40; 8.17; 4.99; 11.66 states/eV/f.u..